[1]
Here is a relaxed Sc3Al3OsRu2 crystal from the Alexandria database. Energies are from PBE.

For the total energy, the calculation gives -64.9 eV/cell.

The structure belongs to space group P-62m (No. 189); the cell edges are 7.2745, 7.2745 and 3.3172 Å and the angles 90.00°, 90.00° and 120.00°. Symmetry generates all atoms from Sc at (0.0000, 0.6108, 0.0000), Al at (0.0000, 0.2745, 0.5000), Os at (0.0000, 0.0000, 0.0000) and Ru at (0.3333, 0.6667, 0.5000).

=====

[2]
Here is a relaxed Sc3Al3Os2Ru crystal from the Alexandria database. Energies are from PBE.

For the total energy, the calculation gives -66.7 eV/cell.

The structure belongs to space group P-62m (No. 189); the cell edges are 7.2553, 7.2553 and 3.3313 Å and the angles 90.00°, 90.00° and 120.00°. Symmetry generates all atoms from Sc at (0.0000, 0.3879, 0.0000), Al at (0.0000, 0.7240, 0.5000), Os at (0.3333, 0.6667, 0.5000) and Ru at (0.0000, 0.0000, 0.0000).

=====

[3]
Here is a relaxed Sc5Al2Os2Ru crystal from the Alexandria database. Energies are from PBE.

For the total energy, the calculation gives -146.7 eV/cell.

The structure belongs to space group P4/mbm (No. 127); the cell edges are 10.990, 10.990 and 3.225 Å and the angles 90.00°, 90.00° and 90.00°. Symmetry generates all atoms from Sc at (0.000, 0.500, 0.000), Sc at (0.046, 0.197, 0.000), Al at (0.189, 0.689, 0.500), Os at (0.144, 0.356, 0.500) and Ru at (0.000, 0.000, 0.500).

=====

[4]
Here is a relaxed AlSnOs2Ru crystal from the Alexandria database. Energies are from PBE.

For the total energy, the calculation gives -28.4 eV/cell.

The structure belongs to space group P4/mmm (No. 123); the cell edges are 4.806, 4.806 and 4.761 Å and the angles 90.00°, 90.00° and 90.00°. Symmetry generates all atoms from Al at (0.000, 0.000, 0.000), Sn at (0.500, 0.500, 0.500), Os at (0.000, 0.500, 0.500) and Ru at (0.500, 0.500, 0.000).

=====

[5]
Here is a relaxed TaAlOsRu crystal from the Alexandria database. Energies are from PBE.

For the total energy, the calculation gives -154.9 eV/cell.

The structure belongs to space group F-43m (No. 216); the cell edges are 6.205, 6.205 and 6.205 Å and the angles 90.00°, 90.00° and 90.00°. Symmetry generates all atoms from Ta at (0.000, 0.000, 0.000), Al at (0.000, 0.000, 0.500), Os at (0.250, 0.250, 0.250) and Ru at (0.250, 0.250, 0.750).

=====

[6]
Here is a relaxed AlOsS crystal from the Alexandria database. Energies are from PBE.

For the total energy, the calculation gives -76.6 eV/cell.

The structure belongs to space group P-3m1 (No. 164); the cell edges are 3.0360, 3.0360 and 23.7350 Å and the angles 90.00°, 90.00° and 120.00°. Symmetry generates all atoms from Al at (0.3333, 0.6667, 0.1250), Al at (0.3333, 0.6667, 0.6356), Os at (0.3333, 0.6667, 0.7898), Os at (0.3333, 0.6667, 0.9570), S at (0.3333, 0.6667, 0.2817) and S at (0.3333, 0.6667, 0.4235).

=====

[7]
Here is a relaxed AlOs2S crystal from the Alexandria database. Energies are from PBE.

The value obtained for the energy above the most stable polymorph in this dataset is 0.0 meV per atom.

The structure belongs to space group Fm-3m (No. 225); the cell edges are 6.023, 6.023 and 6.023 Å and the angles 90.00°, 90.00° and 90.00°. Symmetry generates all atoms from Al at (0.000, 0.000, 0.000), Os at (0.250, 0.250, 0.250) and S at (0.000, 0.000, 0.500).

=====

[8]
Here is a relaxed AlOsS3 crystal from the Alexandria database. Energies are from PBE.

The value obtained for the energy above the most stable polymorph in this dataset is 0.0 meV per atom.

The structure belongs to space group Pm-3m (No. 221); the cell edges are 4.649, 4.649 and 4.649 Å and the angles 90.00°, 90.00° and 90.00°. Symmetry generates all atoms from Al at (0.000, 0.000, 0.000), Os at (0.500, 0.500, 0.500) and S at (0.000, 0.500, 0.500).

=====

[9]
Here is a relaxed AlOs2S crystal from the Alexandria database. Energies are from PBE.

The value obtained for the energy above the most stable polymorph in this dataset is 341.2 meV per atom.

The structure belongs to space group I-42d (No. 122); the cell edges are 5.623, 5.623 and 9.695 Å and the angles 90.00°, 90.00° and 90.00°. Symmetry generates all atoms from Al at (0.000, 0.000, 0.000), Os at (0.210, 0.250, 0.625) and S at (0.000, 0.000, 0.500).

=====

[10]
Here is a relaxed ZrAlOs2S crystal from the Alexandria database. Energies are from PBE.

For the total energy, the calculation gives -36.8 eV/cell.

The structure belongs to space group P4/mmm (No. 123); the cell edges are 4.366, 4.366 and 4.696 Å and the angles 90.00°, 90.00° and 90.00°. Symmetry generates all atoms from Zr at (0.000, 0.000, 0.000), Al at (0.500, 0.500, 0.000), Os at (0.000, 0.500, 0.500) and S at (0.000, 0.000, 0.500).

=====

[11]
Here is a relaxed AlSbOs4 crystal from the Alexandria database. Energies are from PBE.

For the total energy, the calculation gives -194.1 eV/cell.

The structure belongs to space group F-43m (No. 216); the cell edges are 7.415, 7.415 and 7.415 Å and the angles 90.00°, 90.00° and 90.00°. Symmetry generates all atoms from Al at (0.000, 0.000, 0.000), Sb at (0.250, 0.250, 0.250) and Os at (0.125, 0.125, 0.625).

=====

[12]
Here is a relaxed AlSb2Os crystal from the Alexandria database. Energies are from PBE.

For the total energy, the calculation gives -42.1 eV/cell.

The structure belongs to space group C2/m (No. 12); the cell edges are 6.015, 7.786 and 3.324 Å and the angles 90.00°, 90.15° and 90.00°. Symmetry generates all atoms from Al at (0.000, 0.000, 0.000), Sb at (0.250, 0.250, 0.500) and Os at (0.000, 0.500, 0.000).